(1)
Al2Fe: relaxed, PBE. Values from VASP.

SG ... Cmcm (63)
DOS at the Fermi energy ... 1.10 states/eV/f.u.
Energy of formation from the pure elements ... -0.297 eV per atom

```
&SYSTEM
  ibrav = 0, nat = 6, ntyp = 2
/
ATOMIC_SPECIES
Al 26.98 Al.upf
Fe 55.84 Fe.upf
ATOMIC_POSITIONS angstrom
Al -1.4557 -3.2755 -2.5206
Fe 2.4435 -0.2549 1.1446
Fe 3.1832 -1.4223 3.9595
Al -2.1293 -2.0816 -5.2431
Al 0.7626 -2.3893 0.5781
Al 0.0890 -1.1955 -2.1443
CELL_PARAMETERS angstrom
-2.3199 -2.1578 -5.5094
4.6735 0.6359 4.2597
-1.2243 -3.4149 1.8530
```

(2)
Al2Fe: relaxed, PBE. Values from VASP.

SG ... Pnma (62)
DOS at the Fermi energy ... 1.43 states/eV/f.u.
Energy of formation from the pure elements ... -0.302 eV per atom

```
&SYSTEM
  ibrav = 0, nat = 12, ntyp = 2
/
ATOMIC_SPECIES
Fe 55.84 Fe.upf
Al 26.98 Al.upf
ATOMIC_POSITIONS angstrom
Fe 1.0053 0.8043 0.9965
Fe 3.0158 4.1602 6.7910
Al 3.0158 1.9997 2.3422
Fe 3.0158 1.6779 4.8902
Al 3.0158 4.1891 4.2821
Al 1.0053 0.7754 3.5054
Al 1.0053 3.2576 0.3883
Al 3.0158 4.4820 1.5515
Al 3.0158 1.7069 7.3991
Al 1.0053 0.4825 6.2359
Fe 1.0053 3.2866 2.8973
Al 1.0053 2.9647 5.4453
CELL_PARAMETERS angstrom
4.0211 0.0000 0.0000
0.0000 4.9645 0.0000
0.0000 0.0000 7.7875
```

(3)
Al2Fe: relaxed, PBE. Values from VASP.

SG ... C2/m (12)
DOS at the Fermi energy ... 1.42 states/eV/f.u.
Energy of formation from the pure elements ... -0.203 eV per atom

```
&SYSTEM
  ibrav = 0, nat = 6, ntyp = 2
/
ATOMIC_SPECIES
Al 26.98 Al.upf
Fe 55.84 Fe.upf
ATOMIC_POSITIONS angstrom
Al 0.0000 3.2884 0.3594
Fe 0.0000 4.4045 3.9621
Al 0.0000 9.4723 2.0124
Al 0.0000 1.8908 4.0679
Fe 0.0000 6.9586 2.1182
Al 0.0000 8.0747 5.7210
CELL_PARAMETERS angstrom
1.4635 4.5693 0.0126
-1.4635 4.5693 0.0126
0.0000 2.2245 6.0552
```

(4)
Al2Fe: relaxed, PBE. Values from VASP.

SG ... P-3m1 (164)
DOS at the Fermi energy ... 1.41 states/eV/f.u.
Energy of formation from the pure elements ... -0.149 eV per atom

```
&SYSTEM
  ibrav = 0, nat = 3, ntyp = 2
/
ATOMIC_SPECIES
Al 26.98 Al.upf
Fe 55.84 Fe.upf
ATOMIC_POSITIONS angstrom
Al 0.0000 2.3933 1.8696
Al 2.0726 1.1966 0.7881
Fe 0.0000 0.0000 0.0000
CELL_PARAMETERS angstrom
4.1453 0.0000 0.0000
-2.0726 3.5899 0.0000
0.0000 0.0000 2.6577
```

(5)
Al5Fe3: relaxed, PBE. Values from VASP.

SG ... C2/m (12)
Energy above the lowest structure with this stoichiometry ... 0.0653 eV per atom
DOS at the Fermi energy ... 6.56 states/eV/f.u.
Energy of formation from the pure elements ... -0.180 eV per atom

```
&SYSTEM
  ibrav = 0, nat = 16, ntyp = 2
/
ATOMIC_SPECIES
Fe 55.84 Fe.upf
Al 26.98 Al.upf
ATOMIC_POSITIONS angstrom
Fe -3.1973 -1.9633 1.8088
Al -2.1745 -1.0822 6.8904
Al 0.0305 1.9315 1.1017
Fe -2.4401 2.9083 1.5778
Al -1.7690 2.5900 -0.8263
Fe -0.7255 0.8682 3.2116
Fe -3.4112 0.6091 -1.0684
Al -3.1968 1.8441 3.6863
Al -2.8805 0.4716 1.4364
Al -1.3967 1.1892 5.6146
Fe 0.0319 5.7400 2.9795
Fe -1.1500 0.1671 -0.3362
Al -0.9916 4.8608 -2.1051
Al -0.5977 4.7054 0.7555
Al -2.5667 -0.9281 4.0316
Al -0.2853 3.3055 3.3492
CELL_PARAMETERS angstrom
-0.3322 6.0716 -3.9007
-4.2270 -5.2993 2.4951
1.3963 3.0020 6.1886
```

(6)
AlFe2: relaxed, PBE. Values from VASP.

SG ... Imma (74)
DOS at the Fermi energy ... 2.88 states/eV/f.u.
Energy of formation from the pure elements ... 0.076 eV per atom

```
&SYSTEM
  ibrav = 0, nat = 6, ntyp = 2
/
ATOMIC_SPECIES
Fe 55.84 Fe.upf
Al 26.98 Al.upf
ATOMIC_POSITIONS angstrom
Fe 0.0000 3.0005 2.8581
Fe 0.0000 3.0005 0.5703
Fe 1.2758 -1.0002 7.0379
Fe 1.2758 -1.0002 4.7501
Al 0.0000 1.0002 5.6873
Al 1.2758 1.0002 1.9210
CELL_PARAMETERS angstrom
-1.2758 2.0003 7.6082
1.2758 -2.0003 7.6082
1.2758 2.0003 -7.6082
```

(7)
Al2Fe3: relaxed, PBE. Values from VASP.

SG ... Fdd2 (43)
Energy above the lowest structure with this stoichiometry ... 0.0000 eV per atom
DOS at the Fermi energy ... 3.84 states/eV/f.u.
Energy of formation from the pure elements ... -0.194 eV per atom

```
&SYSTEM
  ibrav = 0, nat = 10, ntyp = 2
/
ATOMIC_SPECIES
Al 26.98 Al.upf
Fe 55.84 Fe.upf
ATOMIC_POSITIONS angstrom
Al 2.9013 4.5905 9.9563
Fe 2.8034 4.6465 4.9764
Fe 3.9706 6.2044 8.0798
Fe 2.8034 4.0342 7.4374
Fe 1.4301 2.1702 3.1034
Al 2.9013 4.0903 2.4575
Fe 0.2629 4.3404 6.2069
Fe 3.9706 6.8167 10.5408
Al 1.7341 6.2605 6.8528
Al 1.7341 2.4203 5.5609
CELL_PARAMETERS angstrom
0.0000 4.3404 6.2069
2.3345 0.0000 6.2069
2.3345 4.3404 0.0000
```

(8)
Al2Fe3: relaxed, PBE. Values from VASP.

SG ... Cmce (64)
Energy above the lowest structure with this stoichiometry ... 0.1801 eV per atom
DOS at the Fermi energy ... 3.44 states/eV/f.u.
Energy of formation from the pure elements ... -0.014 eV per atom

```
&SYSTEM
  ibrav = 0, nat = 10, ntyp = 2
/
ATOMIC_SPECIES
Fe 55.84 Fe.upf
Al 26.98 Al.upf
ATOMIC_POSITIONS angstrom
Fe 3.6865 0.8468 1.8652
Fe 0.0000 0.0000 0.0000
Al 0.0000 1.1389 4.2473
Fe 1.2288 0.8468 1.8652
Al 2.4577 1.1389 6.9437
Fe -1.2288 2.8463 5.5955
Al 2.4577 2.5543 3.2134
Fe 2.4577 0.0000 3.7304
Al 0.0000 2.5543 0.5170
Fe 1.2288 2.8463 5.5955
CELL_PARAMETERS angstrom
4.9154 0.0000 0.0000
-2.4577 3.6932 0.0000
0.0000 0.0000 7.4607
```

(9)
AlFe: relaxed, PBE. Values from VASP.

SG ... P6_3/mmc (194)
DOS at the Fermi energy ... 1.34 states/eV/f.u.
Energy of formation from the pure elements ... -0.156 eV per atom

```
&SYSTEM
  ibrav = 0, nat = 4, ntyp = 2
/
ATOMIC_SPECIES
Al 26.98 Al.upf
Fe 55.84 Fe.upf
ATOMIC_POSITIONS angstrom
Al 1.7845 -0.9855 3.5704
Al 0.0000 0.0000 0.0000
Fe 1.7504 -1.5679 1.0596
Fe 2.1466 -2.9339 5.2188
CELL_PARAMETERS angstrom
-1.9184 -1.8363 0.4520
2.2464 -0.6946 -1.3145
3.5690 -1.9709 7.1409
```

(10)
AlFe: relaxed, PBE. Values from VASP.

SG ... P6_3/mmc (194)
DOS at the Fermi energy ... 1.78 states/eV/f.u.
Energy of formation from the pure elements ... 0.241 eV per atom

```
&SYSTEM
  ibrav = 0, nat = 4, ntyp = 2
/
ATOMIC_SPECIES
Fe 55.84 Fe.upf
Al 26.98 Al.upf
ATOMIC_POSITIONS angstrom
Fe 0.0000 0.0000 0.0000
Al 1.9885 1.1481 3.1858
Al 0.0000 2.2962 1.0619
Fe 0.0000 0.0000 2.1239
CELL_PARAMETERS angstrom
3.9771 0.0000 0.0000
-1.9885 3.4442 0.0000
0.0000 0.0000 4.2478
```

(11)
AlFe: relaxed, PBE. Values from VASP.

SG ... Pm-3n (223)
DOS at the Fermi energy ... 3.45 states/eV/f.u.
Energy of formation from the pure elements ... 1.278 eV per atom

```
&SYSTEM
  ibrav = 0, nat = 12, ntyp = 2
/
ATOMIC_SPECIES
Al 26.98 Al.upf
Fe 55.84 Fe.upf
ATOMIC_POSITIONS angstrom
Al 1.6914 3.3828 0.0000
Fe 0.0000 3.3828 5.0742
Fe 1.6914 0.0000 3.3828
Fe 0.0000 3.3828 1.6914
Al 3.3828 0.0000 1.6914
Fe 5.0742 0.0000 3.3828
Al 0.0000 1.6914 3.3828
Fe 3.3828 1.6914 0.0000
Al 3.3828 0.0000 5.0742
Fe 3.3828 5.0742 0.0000
Al 5.0742 3.3828 0.0000
Al 0.0000 5.0742 3.3828
CELL_PARAMETERS angstrom
6.7656 0.0000 0.0000
0.0000 6.7656 0.0000
0.0000 0.0000 6.7656
```

(12)
Al2Fe: relaxed, PBE. Values from VASP.

SG ... Fd-3m (227)
DOS at the Fermi energy ... 3.13 states/eV/f.u.
Energy of formation from the pure elements ... 0.277 eV per atom

```
&SYSTEM
  ibrav = 0, nat = 6, ntyp = 2
/
ATOMIC_SPECIES
Fe 55.84 Fe.upf
Al 26.98 Al.upf
ATOMIC_POSITIONS angstrom
Fe -3.2978 -4.1955 -2.9497
Al -0.8470 -3.3894 -1.5845
Al -2.9379 -2.3636 -0.7058
Fe -4.9467 -6.2932 -4.4245
Al -0.8245 -1.0489 -0.7374
Al -1.9863 -1.5890 -2.8716
CELL_PARAMETERS angstrom
-0.0451 -4.6812 -1.6941
-4.2269 -2.6295 0.0632
-2.3236 -1.0802 -4.2684
```